DFT (PBE) results for a relaxed Pm2DyCl crystal.

space group = No. 166
E_form (uncorrected) = -15.4 kcal/mol of atoms
magnetic moment = 0.0 μB/cell

Unit cell a=3.6523 b=3.6523 c=10.4535 alpha=79.94 beta=79.94 gamma=60.00
Closest atoms and distances in Å follow each position.
Atoms (fractional coordinates):
Cl1 0.0000 0.0000 0.0000  6 Pm 3.08
Pm1 0.7397 0.7397 0.7810  3 Cl 3.08
Pm2 0.2603 0.2603 0.2190  3 Cl 3.08
Dy1 0.5000 0.5000 0.5000  6 Pm 3.57, 6 Dy 3.65